P | Material: TiGa3C
Method: DFT, GGA-PBE
State: optimized geometry

Cell lengths 5.029, 5.029, 5.029 Å; angles 90.00, 90.00, 90.00 degrees
Fractional positions:
C 0.500 0.500 0.500
Ga 0.000 0.500 0.000
Ga 0.000 0.000 0.500
Ga 0.500 0.000 0.000
Ti 0.000 0.000 0.000

Results
* ρ: 3512 kg/m3
* volume: 25.44 A^3/atom



Q | Material: TiGa3C
Method: DFT, GGA-PBE
State: optimized geometry

Cell lengths 4.280, 4.280, 4.280 Å; angles 90.00, 90.00, 90.00 degrees
Fractional positions:
C 0.000 0.000 0.000
Ga 0.000 0.500 0.000
Ga 0.000 0.000 0.500
Ga 0.500 0.000 0.000
Ti 0.500 0.500 0.500

Results
* ρ: 5698 kg/m3
* volume: 15.68 A^3/atom



Least stable = P